An optimized crystal structure of Sr2CaZn. Source: Alexandria, functional PBE.

Values from the calculation:
For the uncorrected energy, the calculation gives -1.7548 eV/atom.

Lattice parameters (Å, degrees): 3.9219 3.9219 10.0868 90.00 90.00 90.00
Closest atoms and distances in Å follow each position.
Element x y z (fractional)
Sr: 0.0000 0.0000 0.9842  8 Sr 3.92-4.37, 4 Ca 4.14
Sr: 0.5000 0.5000 0.3192  4 Zn 3.41, 1 Ca 3.64
Ca: 0.5000 0.5000 0.6798  4 Zn 3.22
Zn: 0.0000 0.0000 0.5168  4 Ca 3.22, 4 Sr 3.41

---

An optimized crystal structure of Sr2Ca3Zn4. Source: Alexandria, functional PBE.

Values from the calculation:
For the uncorrected energy, the calculation gives -1.8065 eV/atom.

Lattice parameters (Å, degrees): 8.1692 8.4386 8.3157 90.00 90.00 107.06
Closest atoms and distances in Å follow each position.
Element x y z (fractional)
Zn: 0.3854 0.0793 0.9672  1 Zn 2.66
Zn: 0.1162 0.5013 0.8863  1 Zn 2.68
Zn: 0.6162 0.5013 0.6137  1 Zn 2.68
Zn: 0.3838 0.4987 0.3863  1 Zn 2.68
Zn: 0.1146 0.9207 0.4672  1 Zn 2.66
Zn: 0.6146 0.9207 0.0328  1 Zn 2.66
Zn: 0.8838 0.4987 0.1137  1 Zn 2.68
Zn: 0.8854 0.0793 0.5328  1 Zn 2.66
Sr: 0.4247 0.8085 0.6720  6 Zn 3.38-3.52
Sr: 0.9247 0.8085 0.8280  6 Zn 3.38-3.52
Sr: 0.5753 0.1915 0.3280  6 Zn 3.38-3.52
Sr: 0.0753 0.1915 0.1720  6 Zn 3.38-3.52
Ca: 0.0000 0.5000 0.5000  6 Zn 3.28-3.41, 2 Ca 3.67
Ca: 0.2497 0.7571 0.1782  6 Zn 3.13-3.22
Ca: 0.7497 0.7571 0.3218  6 Zn 3.13-3.22
Ca: 0.7503 0.2429 0.8218  6 Zn 3.13-3.22
Ca: 0.5000 0.5000 0.0000  6 Zn 3.28-3.41, 2 Ca 3.67
Ca: 0.2503 0.2429 0.6782  6 Zn 3.13-3.22

---

An optimized crystal structure of Sr3CaZn. Source: Alexandria, functional PBE.

Values from the calculation:
For the uncorrected energy, the calculation gives -1.6976 eV/atom. The calculation puts the energy above the most stable polymorph in this dataset at 0.00 eV per formula unit.

Lattice parameters (Å, degrees): 4.3556 9.9895 11.0098 97.90 101.19 102.74
Closest atoms and distances in Å follow each position.
Element x y z (fractional)
Sr: 0.3247 0.0598 0.6619  3 Zn 3.29-3.44
Sr: 0.8344 0.3333 0.4122  3 Ca 4.07, 1 Zn 4.16, 6 Sr 4.27-4.37
Sr: 0.5429 0.7164 0.4482  3 Zn 3.24-3.29
Sr: 0.3661 0.8377 0.9733  3 Zn 3.24-3.29
Sr: 0.5843 0.4943 0.7597  3 Zn 3.29-3.43
Sr: 0.0746 0.2208 0.0094  3 Ca 4.07, 1 Zn 4.16, 6 Sr 4.27-4.37
Zn: 0.7597 0.8451 0.7522  2 Zn 2.62
Zn: 0.1493 0.7089 0.6694  2 Zn 2.62
Ca: 0.0937 0.9833 0.2819  8 Sr 4.00-4.07, 3 Ca 4.02-4.36
Ca: 0.8154 0.5708 0.1397  8 Sr 4.00-4.07, 3 Ca 4.02-4.36

---

An optimized crystal structure of SrCa3Zn8. Source: Alexandria, functional PBE.

Values from the calculation:
For the uncorrected energy, the calculation gives -1.7282 eV/atom. The calculation puts the energy above the most stable polymorph in this dataset at 0.00 eV per formula unit.

Lattice parameters (Å, degrees): 5.7016 5.7016 8.9146 90.00 90.00 120.00
Closest atoms and distances in Å follow each position.
Element x y z (fractional)
Zn: 0.3333 0.6667 0.9978  6 Zn 2.74-2.75
Zn: 0.9996 0.4998 0.7528  6 Zn 2.74-2.85
Zn: 0.1686 0.3373 0.2468  6 Zn 2.75-2.88
Zn: 0.5002 0.0004 0.7528  6 Zn 2.74-2.85
Zn: 0.6627 0.8314 0.2468  6 Zn 2.75-2.88
Zn: 0.3333 0.6667 0.4998  6 Zn 2.78-2.79
Zn: 0.1686 0.8314 0.2468  6 Zn 2.75-2.88
Zn: 0.5002 0.4998 0.7528  6 Zn 2.74-2.85
Ca: 0.6667 0.3333 0.0574  12 Zn 3.17-3.33, 4 Ca 3.40-3.43
Ca: 0.0000 0.0000 0.9478  12 Zn 3.14-3.34, 3 Ca 3.43, 1 Sr 3.46
Ca: 0.6667 0.3333 0.4388  12 Zn 3.25-3.34, 1 Ca 3.40, 3 Sr 3.46
Sr: 0.0000 0.0000 0.5597  12 Zn 3.25-3.33, 4 Ca 3.46

---

An optimized crystal structure of Sr2CaZn. Source: Alexandria, functional PBE.

Values from the calculation:
For the uncorrected energy, the calculation gives -1.5658 eV/atom.

Lattice parameters (Å, degrees): 6.5649 6.5649 6.5649 131.61 131.61 70.85
Closest atoms and distances in Å follow each position.
Element x y z (fractional)
Sr: 0.0000 0.0000 0.0000  4 Zn 3.79, 4 Ca 3.79, 4 Sr 3.81
Sr: 0.5000 0.5000 0.0000  4 Ca 3.79, 4 Zn 3.79, 4 Sr 3.81
Ca: 0.7500 0.2500 0.5000  8 Sr 3.79, 4 Zn 3.81
Zn: 0.2500 0.7500 0.5000  8 Sr 3.79, 4 Ca 3.81

---

An optimized crystal structure of SrCa2Zn3. Source: Alexandria, functional PBE.

Values from the calculation:
For the uncorrected energy, the calculation gives -1.7940 eV/atom.

Lattice parameters (Å, degrees): 3.7652 3.7652 11.1932 90.00 90.00 90.00
Closest atoms and distances in Å follow each position.
Element x y z (fractional)
Zn: 0.0000 0.0000 0.3154  4 Ca 3.18, 4 Sr 3.37, 1 Zn 3.53
Zn: 0.0000 0.0000 0.6846  4 Ca 3.18, 4 Sr 3.37, 1 Zn 3.53
Zn: 0.0000 0.0000 0.0000  8 Ca 3.21, 2 Zn 3.53
Ca: 0.5000 0.5000 0.1596  8 Zn 3.18-3.21
Ca: 0.5000 0.5000 0.8404  8 Zn 3.18-3.21
Sr: 0.5000 0.5000 0.5000  8 Zn 3.37, 4 Sr 3.77

---

Number 1: ΔH_f (0 K) -9.2 kJ per mole of atoms. Number 2: ΔH_f (0 K) -19.2 kJ per mole of atoms. Number 3: ΔH_f (0 K) -3.2 kJ per mole of atoms. Number 4: ΔH_f (0 K) -23.0 kJ per mole of atoms. Number 5: ΔH_f (0 K) 9.1 kJ per mole of atoms. Number 6: ΔH_f (0 K) -20.2 kJ per mole of atoms.